one | {"formula": "SmDy3Er6", "functional": "PBE-GGA", "state": "relaxed", "magnetic_moment_mub_per_cell": 0.00, "sg": "R3", "density_g_cm3": 8.553, "dos_at_fermi_per_ev_fu": 19.63, "vol_a3_per_fu": 319, "cell": [[4.8764, 2.8154, 3.8687], [-4.8764, 2.8154, 3.8687], [0.0000, -5.6307, 3.8687]], "species": ["Sm", "Dy", "Dy", "Dy", "Er", "Er", "Er", "Er", "Er", "Er"], "fractional_positions": [[0.0000, 0.0000, 0.0000], [0.2582, 0.2582, 0.2582], [0.5018, 0.5018, 0.5018], [0.7553, 0.7553, 0.7553], [0.1592, 0.8224, 0.4843], [0.3245, 0.6579, 0.9848], [0.4843, 0.1592, 0.8224], [0.6579, 0.9848, 0.3245], [0.8224, 0.4843, 0.1592], [0.9848, 0.3245, 0.6579]]}

two | {"formula": "SmDy3Er6", "functional": "PBE-GGA", "state": "relaxed", "magnetic_moment_mub_per_cell": 0.00, "sg": "Cmc2_1", "density_g_cm3": 8.608, "dos_at_fermi_per_ev_fu": 14.09, "vol_a3_per_fu": 317, "cell": [[5.4758, -9.4060, 0.0000], [5.4758, 9.4060, 0.0000], [0.0000, 0.0000, 6.1480]], "species": ["Sm", "Sm", "Dy", "Dy", "Dy", "Dy", "Dy", "Dy", "Er", "Er", "Er", "Er", "Er", "Er", "Er", "Er", "Er", "Er", "Er", "Er"], "fractional_positions": [[0.2076, 0.7924, 0.5000], [0.7924, 0.2076, 0.0000], [0.0638, 0.2813, 0.3043], [0.2813, 0.0638, 0.8043], [0.3908, 0.6092, 0.4168], [0.6092, 0.3908, 0.9168], [0.7187, 0.9362, 0.3043], [0.9362, 0.7187, 0.8043], [0.0378, 0.4591, 0.7110], [0.0473, 0.9527, 0.2631], [0.2847, 0.7153, 0.9879], [0.2883, 0.3825, 0.8774], [0.3825, 0.2883, 0.3774], [0.4591, 0.0378, 0.2110], [0.5409, 0.9622, 0.7110], [0.6175, 0.7117, 0.8774], [0.7117, 0.6175, 0.3774], [0.7153, 0.2847, 0.4879], [0.9527, 0.0473, 0.7631], [0.9622, 0.5409, 0.2110]]}

It is two that is most stable; the runner-up trails by 142 meV per atom.

one | {"formula": "Sm12Dy7Er", "functional": "PBE-GGA", "state": "relaxed", "magnetic_moment_mub_per_cell": 0.00, "sg": "R-3", "density_g_cm3": 7.694, "dos_at_fermi_per_ev_fu": 22.09, "vol_a3_per_fu": 671, "cell": [[6.4428, 3.7198, 4.6666], [-6.4428, 3.7198, 4.6666], [0.0000, -7.4395, 4.6666]], "species": ["Sm", "Sm", "Sm", "Sm", "Sm", "Sm", "Sm", "Sm", "Sm", "Sm", "Sm", "Sm", "Dy", "Dy", "Dy", "Dy", "Dy", "Dy", "Dy", "Er"], "fractional_positions": [[0.0216, 0.0868, 0.3531], [0.0868, 0.3531, 0.0216], [0.1849, 0.7494, 0.3174], [0.2506, 0.6826, 0.8151], [0.3174, 0.1849, 0.7494], [0.3531, 0.0216, 0.0868], [0.6469, 0.9784, 0.9132], [0.6826, 0.8151, 0.2506], [0.7494, 0.3174, 0.1849], [0.8151, 0.2506, 0.6826], [0.9132, 0.6469, 0.9784], [0.9784, 0.9132, 0.6469], [0.0000, 0.0000, 0.0000], [0.1508, 0.4161, 0.4797], [0.4161, 0.4797, 0.1508], [0.4797, 0.1508, 0.4161], [0.5203, 0.8492, 0.5839], [0.5839, 0.5203, 0.8492], [0.8492, 0.5839, 0.5203], [0.5000, 0.5000, 0.5000]]}

two | {"formula": "Sm12Dy7Er", "functional": "PBE-GGA", "state": "relaxed", "magnetic_moment_mub_per_cell": 0.00, "sg": "R-3m", "density_g_cm3": 7.572, "dos_at_fermi_per_ev_fu": 27.25, "vol_a3_per_fu": 682, "cell": [[9.7833, 5.6484, 2.0565], [-9.7833, 5.6484, 2.0565], [0.0000, -11.2968, 2.0565]], "species": ["Sm", "Sm", "Sm", "Sm", "Sm", "Sm", "Sm", "Sm", "Sm", "Sm", "Sm", "Sm", "Dy", "Dy", "Dy", "Dy", "Dy", "Dy", "Dy", "Er"], "fractional_positions": [[0.0000, 0.4132, 0.5868], [0.0000, 0.5868, 0.4132], [0.0874, 0.0874, 0.4412], [0.0874, 0.4412, 0.0874], [0.4132, 0.0000, 0.5868], [0.4132, 0.5868, 0.0000], [0.4412, 0.0874, 0.0874], [0.5588, 0.9126, 0.9126], [0.5868, 0.0000, 0.4132], [0.5868, 0.4132, 0.0000], [0.9126, 0.5588, 0.9126], [0.9126, 0.9126, 0.5588], [0.0000, 0.0000, 0.0000], [0.1294, 0.3741, 0.3741], [0.3741, 0.1294, 0.3741], [0.3741, 0.3741, 0.1294], [0.6259, 0.6259, 0.8706], [0.6259, 0.8706, 0.6259], [0.8706, 0.6259, 0.6259], [0.5000, 0.5000, 0.5000]]}

It is two that is most stable; the runner-up trails by 30 meV per atom.

one | {"formula": "Sm2DyEr5", "functional": "PBE-GGA", "state": "relaxed", "magnetic_moment_mub_per_cell": 0.00, "sg": "Cmcm", "density_g_cm3": 8.287, "dos_at_fermi_per_ev_fu": 13.40, "vol_a3_per_fu": 260, "cell": [[2.8145, -8.1189, 0.0000], [2.8145, 8.1189, 0.0000], [0.0000, 0.0000, 11.3955]], "species": ["Sm", "Sm", "Sm", "Sm", "Dy", "Dy", "Er", "Er", "Er", "Er", "Er", "Er", "Er", "Er", "Er", "Er"], "fractional_positions": [[0.2109, 0.7891, 0.5825], [0.2109, 0.7891, 0.9175], [0.7891, 0.2109, 0.0825], [0.7891, 0.2109, 0.4175], [0.2275, 0.7725, 0.2500], [0.7725, 0.2275, 0.7500], [0.0441, 0.9559, 0.1123], [0.0441, 0.9559, 0.3877], [0.3955, 0.6045, 0.7500], [0.4137, 0.5863, 0.0787], [0.4137, 0.5863, 0.4213], [0.5863, 0.4137, 0.5787], [0.5863, 0.4137, 0.9213], [0.6045, 0.3955, 0.2500], [0.9559, 0.0441, 0.6123], [0.9559, 0.0441, 0.8877]]}

two | {"formula": "Sm2DyEr5", "functional": "PBE-GGA", "state": "relaxed", "magnetic_moment_mub_per_cell": 0.00, "sg": "Pbam", "density_g_cm3": 8.606, "dos_at_fermi_per_ev_fu": 10.21, "vol_a3_per_fu": 251, "cell": [[7.0813, 0.0000, 0.0000], [0.0000, 14.1632, 0.0000], [0.0000, 0.0000, 4.9999]], "species": ["Sm", "Sm", "Sm", "Sm", "Dy", "Dy", "Er", "Er", "Er", "Er", "Er", "Er", "Er", "Er", "Er", "Er"], "fractional_positions": [[0.2505, 0.1252, 0.0000], [0.2495, 0.6252, 0.0000], [0.7505, 0.3748, 0.0000], [0.7495, 0.8748, 0.0000], [0.0000, 0.0000, 0.5000], [0.5000, 0.5000, 0.5000], [0.0004, 0.2501, 0.5000], [0.0000, 0.5000, 0.5000], [0.9996, 0.7499, 0.5000], [0.2504, 0.3749, 0.0000], [0.2496, 0.8749, 0.0000], [0.5000, 0.0000, 0.5000], [0.5004, 0.2499, 0.5000], [0.4996, 0.7501, 0.5000], [0.7504, 0.1251, 0.0000], [0.7496, 0.6251, 0.0000]]}

It is two that is most stable; the runner-up trails by 120 meV per atom.

one | {"formula": "Sm8Dy6Er", "functional": "PBE-GGA", "state": "relaxed", "magnetic_moment_mub_per_cell": 0.00, "sg": "R-3", "density_g_cm3": 7.855, "dos_at_fermi_per_ev_fu": 22.83, "vol_a3_per_fu": 496, "cell": [[4.5479, 2.6258, 6.9187], [-4.5479, 2.6258, 6.9187], [0.0000, -5.2515, 6.9187]], "species": ["Sm", "Sm", "Sm", "Sm", "Sm", "Sm", "Sm", "Sm", "Dy", "Dy", "Dy", "Dy", "Dy", "Dy", "Er"], "fractional_positions": [[0.0774, 0.0774, 0.0774], [0.2191, 0.6117, 0.2483], [0.2483, 0.2191, 0.6117], [0.3883, 0.7517, 0.7809], [0.6117, 0.2483, 0.2191], [0.7517, 0.7809, 0.3883], [0.7809, 0.3883, 0.7517], [0.9226, 0.9226, 0.9226], [0.0399, 0.6002, 0.7412], [0.2588, 0.9601, 0.3998], [0.3998, 0.2588, 0.9601], [0.6002, 0.7412, 0.0399], [0.7412, 0.0399, 0.6002], [0.9601, 0.3998, 0.2588], [0.5000, 0.5000, 0.5000]]}

two | {"formula": "Sm8Dy6Er", "functional": "PBE-GGA", "state": "relaxed", "magnetic_moment_mub_per_cell": 0.00, "sg": "P-3", "density_g_cm3": 7.810, "dos_at_fermi_per_ev_fu": 23.09, "vol_a3_per_fu": 499, "cell": [[9.3913, 0.0000, 0.0000], [-4.6956, 8.1331, 0.0000], [0.0000, 0.0000, 6.5278]], "species": ["Sm", "Sm", "Sm", "Sm", "Sm", "Sm", "Sm", "Sm", "Dy", "Dy", "Dy", "Dy", "Dy", "Dy", "Er"], "fractional_positions": [[0.0340, 0.2837, 0.3334], [0.2497, 0.9660, 0.3334], [0.2837, 0.2497, 0.6666], [0.3333, 0.6667, 0.3795], [0.6667, 0.3333, 0.6205], [0.7163, 0.7503, 0.3334], [0.7503, 0.0340, 0.6666], [0.9660, 0.7163, 0.6666], [0.0915, 0.4371, 0.8398], [0.3456, 0.9085, 0.8398], [0.4371, 0.3456, 0.1602], [0.5629, 0.6544, 0.8398], [0.6544, 0.0915, 0.1602], [0.9085, 0.5629, 0.1602], [0.0000, 0.0000, 0.0000]]}

It is one that is most stable; the runner-up trails by 53 meV per atom.

one | {"formula": "Sm5DyEr4", "functional": "PBE-GGA", "state": "relaxed", "magnetic_moment_mub_per_cell": 0.00, "sg": "C2/m", "density_g_cm3": 8.109, "dos_at_fermi_per_ev_fu": 14.28, "vol_a3_per_fu": 324, "cell": [[8.5092, -1.7699, 0.0000], [8.5092, 1.7699, 0.0000], [-3.6930, 0.0000, 10.7637]], "species": ["Sm", "Sm", "Sm", "Sm", "Sm", "Dy", "Er", "Er", "Er", "Er"], "fractional_positions": [[0.0000, 0.0000, 0.0000], [0.2896, 0.2896, 0.3845], [0.3110, 0.3110, 0.9228], [0.6890, 0.6890, 0.0772], [0.7104, 0.7104, 0.6155], [0.0000, 0.0000, 0.5000], [0.1048, 0.1048, 0.7954], [0.4179, 0.4179, 0.7068], [0.5821, 0.5821, 0.2932], [0.8952, 0.8952, 0.2046]]}

two | {"formula": "Sm5DyEr4", "functional": "PBE-GGA", "state": "relaxed", "magnetic_moment_mub_per_cell": 0.00, "sg": "I4", "density_g_cm3": 8.009, "dos_at_fermi_per_ev_fu": 15.35, "vol_a3_per_fu": 328, "cell": [[-5.1079, 5.1079, 3.1455], [5.1079, -5.1079, 3.1455], [5.1079, 5.1079, -3.1455]], "species": ["Sm", "Sm", "Sm", "Sm", "Sm", "Dy", "Er", "Er", "Er", "Er"], "fractional_positions": [[0.0000, 0.0000, 0.0000], [0.0383, 0.4179, 0.9157], [0.1226, 0.0383, 0.6203], [0.4179, 0.5022, 0.3797], [0.5022, 0.1226, 0.0843], [0.5414, 0.5414, 0.0000], [0.1136, 0.7214, 0.2993], [0.4221, 0.8143, 0.7007], [0.7214, 0.4221, 0.6078], [0.8143, 0.1136, 0.3922]]}

It is one that is most stable; the runner-up trails by 259 meV per atom.

one | {"formula": "Sm12DyEr7", "functional": "PBE-GGA", "state": "relaxed", "magnetic_moment_mub_per_cell": 0.00, "sg": "R-3m", "density_g_cm3": 7.701, "dos_at_fermi_per_ev_fu": 27.66, "vol_a3_per_fu": 677, "cell": [[9.7702, 5.6408, 2.0459], [-9.7702, 5.6408, 2.0459], [0.0000, -11.2816, 2.0459]], "species": ["Sm", "Sm", "Sm", "Sm", "Sm", "Sm", "Sm", "Sm", "Sm", "Sm", "Sm", "Sm", "Dy", "Er", "Er", "Er", "Er", "Er", "Er", "Er"], "fractional_positions": [[0.0000, 0.4134, 0.5866], [0.0000, 0.5866, 0.4134], [0.0855, 0.0855, 0.4390], [0.0855, 0.4390, 0.0855], [0.4134, 0.0000, 0.5866], [0.4134, 0.5866, 0.0000], [0.4390, 0.0855, 0.0855], [0.5610, 0.9145, 0.9145], [0.5866, 0.0000, 0.4134], [0.5866, 0.4134, 0.0000], [0.9145, 0.5610, 0.9145], [0.9145, 0.9145, 0.5610], [0.5000, 0.5000, 0.5000], [0.0000, 0.0000, 0.0000], [0.1303, 0.3743, 0.3743], [0.3743, 0.1303, 0.3743], [0.3743, 0.3743, 0.1303], [0.6257, 0.6257, 0.8697], [0.6257, 0.8697, 0.6257], [0.8697, 0.6257, 0.6257]]}

two | {"formula": "Sm12DyEr7", "functional": "PBE-GGA", "state": "relaxed", "magnetic_moment_mub_per_cell": 0.00, "sg": "R-3", "density_g_cm3": 7.813, "dos_at_fermi_per_ev_fu": 21.67, "vol_a3_per_fu": 667, "cell": [[6.4289, 3.7117, 4.6577], [-6.4289, 3.7117, 4.6577], [0.0000, -7.4235, 4.6577]], "species": ["Sm", "Sm", "Sm", "Sm", "Sm", "Sm", "Sm", "Sm", "Sm", "Sm", "Sm", "Sm", "Dy", "Er", "Er", "Er", "Er", "Er", "Er", "Er"], "fractional_positions": [[0.1446, 0.4735, 0.4090], [0.1864, 0.3202, 0.7510], [0.2490, 0.8136, 0.6798], [0.3202, 0.7510, 0.1864], [0.4090, 0.1446, 0.4735], [0.4735, 0.4090, 0.1446], [0.5265, 0.5910, 0.8554], [0.5910, 0.8554, 0.5265], [0.6798, 0.2490, 0.8136], [0.7510, 0.1864, 0.3202], [0.8136, 0.6798, 0.2490], [0.8554, 0.5265, 0.5910], [0.0000, 0.0000, 0.0000], [0.0132, 0.3456, 0.0791], [0.0791, 0.0132, 0.3456], [0.3456, 0.0791, 0.0132], [0.5000, 0.5000, 0.5000], [0.6544, 0.9209, 0.9868], [0.9209, 0.9868, 0.6544], [0.9868, 0.6544, 0.9209]]}

It is one that is most stable; the runner-up trails by 30 meV per atom.

one | {"formula": "Sm4Dy2Er5", "functional": "PBE-GGA", "state": "relaxed", "magnetic_moment_mub_per_cell": 0.00, "sg": "C2/m", "density_g_cm3": 8.066, "dos_at_fermi_per_ev_fu": 16.69, "vol_a3_per_fu": 363, "cell": [[11.8951, -1.7459, 0.0000], [11.8951, 1.7459, 0.0000], [-1.4069, 0.0000, 8.7369]], "species": ["Sm", "Sm", "Sm", "Sm", "Dy", "Dy", "Er", "Er", "Er", "Er", "Er"], "fractional_positions": [[0.0265, 0.0265, 0.1906], [0.3707, 0.3707, 0.9659], [0.6293, 0.6293, 0.0341], [0.9735, 0.9735, 0.8094], [0.2317, 0.2317, 0.8251], [0.7683, 0.7683, 0.1749], [0.1015, 0.1015, 0.6946], [0.1779, 0.1779, 0.3989], [0.5000, 0.5000, 0.5000], [0.8221, 0.8221, 0.6011], [0.8985, 0.8985, 0.3054]]}

two | {"formula": "Sm4Dy2Er5", "functional": "PBE-GGA", "state": "relaxed", "magnetic_moment_mub_per_cell": 0.00, "sg": "C2/m", "density_g_cm3": 8.302, "dos_at_fermi_per_ev_fu": 17.84, "vol_a3_per_fu": 353, "cell": [[9.5433, -2.8181, 0.0000], [9.5433, 2.8181, 0.0000], [-0.1478, 0.0000, 6.5548]], "species": ["Sm", "Sm", "Sm", "Sm", "Dy", "Dy", "Er", "Er", "Er", "Er", "Er"], "fractional_positions": [[0.0221, 0.0221, 0.2843], [0.3051, 0.3051, 0.9256], [0.6949, 0.6949, 0.0744], [0.9779, 0.9779, 0.7157], [0.4016, 0.4016, 0.4462], [0.5984, 0.5984, 0.5538], [0.1304, 0.1304, 0.8897], [0.2089, 0.2089, 0.4010], [0.5000, 0.5000, 0.0000], [0.7911, 0.7911, 0.5990], [0.8696, 0.8696, 0.1103]]}

It is two that is most stable; the runner-up trails by 120 meV per atom.

one | {"formula": "Sm2Dy4Er", "functional": "PBE-GGA", "state": "relaxed", "magnetic_moment_mub_per_cell": 0.00, "sg": "P2_1/m", "density_g_cm3": 8.250, "dos_at_fermi_per_ev_fu": 11.77, "vol_a3_per_fu": 225, "cell": [[6.0766, 0.0000, 0.0000], [0.0000, 6.6026, 0.0000], [-2.7930, 0.0000, 11.2174]], "species": ["Sm", "Sm", "Sm", "Sm", "Dy", "Dy", "Dy", "Dy", "Dy", "Dy", "Dy", "Dy", "Er", "Er"], "fractional_positions": [[0.1004, 0.2500, 0.4943], [0.2126, 0.2500, 0.0713], [0.7874, 0.7500, 0.9287], [0.8996, 0.7500, 0.5057], [0.1487, 0.0060, 0.7882], [0.1487, 0.4940, 0.7882], [0.3495, 0.7500, 0.0567], [0.4794, 0.7500, 0.6454], [0.5206, 0.2500, 0.3546], [0.6505, 0.2500, 0.9433], [0.8513, 0.5060, 0.2118], [0.8513, 0.9940, 0.2118], [0.3533, 0.7500, 0.3432], [0.6467, 0.2500, 0.6568]]}

two | {"formula": "Sm2Dy4Er", "functional": "PBE-GGA", "state": "relaxed", "magnetic_moment_mub_per_cell": 0.00, "sg": "Cmce", "density_g_cm3": 7.915, "dos_at_fermi_per_ev_fu": 9.41, "vol_a3_per_fu": 235, "cell": [[1.8751, -6.8035, 0.0000], [1.8751, 6.8035, 0.0000], [0.0000, 0.0000, 18.3857]], "species": ["Sm", "Sm", "Sm", "Sm", "Dy", "Dy", "Dy", "Dy", "Dy", "Dy", "Dy", "Dy", "Er", "Er"], "fractional_positions": [[0.1308, 0.8692, 0.8473], [0.3692, 0.6308, 0.3473], [0.6308, 0.3692, 0.6527], [0.8692, 0.1308, 0.1527], [0.0833, 0.9167, 0.3221], [0.1885, 0.8115, 0.0535], [0.3115, 0.6885, 0.5535], [0.4167, 0.5833, 0.8221], [0.5833, 0.4167, 0.1779], [0.6885, 0.3115, 0.4465], [0.8115, 0.1885, 0.9465], [0.9167, 0.0833, 0.6779], [0.0000, 0.0000, 0.5000], [0.5000, 0.5000, 0.0000]]}

It is one that is most stable; the runner-up trails by 70 meV per atom.

one | {"formula": "Sm2Dy3Er2", "functional": "PBE-GGA", "state": "relaxed", "magnetic_moment_mub_per_cell": 0.00, "sg": "C2/m", "density_g_cm3": 8.394, "dos_at_fermi_per_ev_fu": 9.37, "vol_a3_per_fu": 222, "cell": [[5.8856, -1.7775, 0.0000], [5.8856, 1.7775, 0.0000], [-1.0611, 0.0000, 10.6159]], "species": ["Sm", "Sm", "Dy", "Dy", "Dy", "Er", "Er"], "fractional_positions": [[0.2153, 0.2153, 0.3558], [0.7847, 0.7847, 0.6442], [0.3576, 0.3576, 0.9294], [0.5000, 0.5000, 0.5000], [0.6424, 0.6424, 0.0706], [0.0702, 0.0702, 0.7878], [0.9298, 0.9298, 0.2122]]}

two | {"formula": "Sm2Dy3Er2", "functional": "PBE-GGA", "state": "relaxed", "magnetic_moment_mub_per_cell": 0.00, "sg": "C2/m", "density_g_cm3": 8.228, "dos_at_fermi_per_ev_fu": 10.66, "vol_a3_per_fu": 227, "cell": [[8.7200, -1.7493, 0.0000], [8.7200, 1.7493, 0.0000], [-4.1477, 0.0000, 7.4268]], "species": ["Sm", "Sm", "Dy", "Dy", "Dy", "Er", "Er"], "fractional_positions": [[0.0663, 0.0663, 0.4116], [0.9337, 0.9337, 0.5884], [0.2883, 0.2883, 0.7009], [0.5000, 0.5000, 0.0000], [0.7117, 0.7117, 0.2991], [0.3509, 0.3509, 0.1685], [0.6491, 0.6491, 0.8315]]}

It is one that is most stable; the runner-up trails by 100 meV per atom.